No. 1
5
Lattice="4.746 0.000 0.000 0.000 4.746 0.000 0.000 0.000 4.954" Properties=species:S:1:pos:R:3 comment="FeSnSe2Br | the Alexandria database | PBEsol | relaxed" sg=P4/mmm pbc="T T T"
Fe 0.000 0.000 0.000
Sn 2.373 2.373 2.477
Se 0.000 2.373 0.000
Se 2.373 0.000 0.000
Br 0.000 0.000 2.477

---

No. 2
4
Lattice="2.837 0.000 0.000 0.000 5.033 0.000 -0.212 0.000 4.159" Properties=species:S:1:pos:R:3 comment="Zn2FeSe | the Alexandria database | PBEsol | relaxed" sg=P2/m pbc="T T T"
Zn 0.646 0.000 1.066
Zn 1.979 0.000 3.093
Fe 1.312 2.516 2.080
Se 0.000 2.516 0.000

---

Calculated formation energy (no corrections), -26 229 meV/atom (same order as the records).